The following is a DFT calculation (PBE-GGA) of crystalline Ca2BI2N2 at its relaxed geometry.

a b c (Å): 3.881 5.162 10.668
angles (deg): 95.42 90.00 112.08
Site moments in Bohr magnetons follow the coordinates.
Sites, in units of the cell vectors:
B (0.000, 0.000, 0.500)  -0.02
N (0.873, 0.746, 0.542)  0.17
N (0.127, 0.254, 0.458)  0.17
Ca (0.700, 0.401, 0.359)  0.01
Ca (0.300, 0.599, 0.641)  0.01
I (0.383, 0.766, 0.186)  0.01
I (0.617, 0.234, 0.814)  0.01

## Properties
Theoretical density in g/cm3: 3.1
Formation energy without anion corrections in eV per atom: -1.070